# BaGdPb2

An optimized crystal structure of BaGdPb2 (PBE-GGA, Alexandria via LeMat-Bulk).

Unit cell a=4.694 b=5.363 c=5.363 alpha=90.00 beta=90.00 gamma=90.00
Element x y z (fractional)
Ba 0.500 0.000 0.000
Pb 0.000 0.000 0.500
Pb 0.000 0.500 0.000
Gd 0.500 0.500 0.500

Calculated values
Its final energy is -6.24 eV per atom. The total magnetization is 7.3 μB/cell.